ScCoH3: relaxed, PBE.

Computed properties:
Total DFT energy (no corrections) = -4.787 eV per atom

Unit cell a=3.5095 b=3.5095 c=7.3444 alpha=76.18 beta=76.18 gamma=90.00
With the nearest neighbours (Å) after each atom.
Atoms (fractional coordinates):
Sc 0.6374 0.1374 0.7251  6 H 2.08-2.28
Sc 0.8626 0.3626 0.2749  6 H 2.08-2.28
H 0.1733 0.9059 0.1882  1 Co 1.60, 1 H 1.63
H 0.0941 0.8267 0.8118  1 Co 1.60, 1 H 1.63
H 0.0941 0.3615 0.8118  1 Co 1.60, 1 H 1.63
H 0.6385 0.9059 0.1882  1 Co 1.60, 1 H 1.63
H 0.2577 0.2577 0.4846  2 Co 1.76
H 0.7423 0.7423 0.5154  2 Co 1.76
Co 0.0000 0.0000 0.0000  4 H 1.60
Co 0.2500 0.7500 0.5000  4 H 1.76